1.
A plane-wave DFT calculation with PBE-GGA was carried out for an optimized crystal structure of NaAl6Sb7Te8Cl24.

Cell and atoms, written as POSCAR:
```
NaAl6Sb7Te8Cl24
1.0
-10.534 7.439 1.596
-4.529 -12.167 -3.335
0.917 -4.824 18.391
Na Al Sb Te Cl
2 12 14 16 48
Cartesian
-7.564 0.732 5.505
-6.583 -10.284 11.147
-10.664 -6.710 15.267
-3.483 -2.842 1.385
-12.039 -7.051 0.784
-2.108 -2.502 15.867
-8.613 0.297 1.429
-5.534 -9.850 15.223
-3.747 -1.736 7.107
-10.400 -7.817 9.545
-3.852 -7.052 10.752
-10.295 -2.501 5.900
-5.205 -11.891 8.235
-8.942 2.338 8.417
-8.514 -1.083 14.186
-5.633 -8.470 2.466
-8.410 2.549 16.114
-5.738 -12.102 0.538
-8.494 -4.723 12.289
-5.653 -4.830 4.362
-8.451 -1.054 18.268
-5.696 -8.499 -1.616
-8.466 -1.196 10.074
-5.681 -8.357 6.578
-1.281 -7.206 14.724
-12.866 -2.346 1.928
-5.126 -2.307 12.132
-9.021 -7.246 4.520
-10.306 -2.260 16.399
-3.841 -7.292 0.253
-6.737 0.113 11.996
-7.410 -9.666 4.655
-10.289 1.443 14.193
-3.858 -10.996 2.459
-6.652 -3.548 14.231
-7.495 -6.005 2.421
-6.700 0.182 16.264
-7.447 -9.735 0.387
-10.253 -2.450 11.977
-3.894 -7.102 4.675
-10.040 1.491 18.255
-4.107 -11.043 -1.603
-6.770 -3.659 10.181
-7.377 -5.894 6.471
-11.157 -8.829 15.241
-2.990 -0.724 1.411
-11.460 -5.716 13.520
-2.687 -3.837 3.132
-11.543 -5.879 17.065
-2.604 -3.674 -0.413
-8.538 -6.427 15.262
-5.609 -3.125 1.390
-10.976 -8.579 1.936
-3.171 -0.973 14.716
-9.626 5.027 4.499
-4.521 -14.580 12.152
-11.229 -5.142 1.410
-2.918 -4.411 15.242
-7.101 4.795 2.024
-7.047 -14.348 14.628
-10.254 1.561 2.057
-3.893 -11.114 14.595
-6.956 -3.586 17.959
-7.191 -5.966 -1.307
-9.245 -1.699 1.081
-4.902 -7.853 15.571
-6.982 0.436 2.834
-7.165 -9.988 13.818
-4.230 -3.854 6.995
-9.917 -5.698 9.657
-4.738 -0.620 5.536
-9.410 -8.933 11.116
-4.405 -1.039 9.044
-9.742 -8.514 7.608
-1.633 -1.440 6.881
-12.514 -8.113 9.771
-2.775 -8.392 12.083
-11.372 -1.161 4.569
-5.984 -7.434 10.927
-8.163 -2.118 5.725
-3.401 -5.027 11.347
-10.746 -4.526 5.305
-3.257 -7.399 8.713
-10.890 -2.153 7.939
-7.129 -10.848 8.396
-7.018 1.295 8.255
-4.201 -10.947 6.511
-9.946 1.395 10.141
-5.472 -13.961 7.916
-8.675 4.408 8.735
-4.167 -11.348 10.041
-9.981 1.795 6.611
```

Summary:
The crystal system is triclinic. For the formation energy without anion corrections, the calculation gives -1.06 eV per atom.

=====

2.
A plane-wave DFT calculation with PBE-GGA was carried out for an optimized crystal structure of NaAl6Sb7Te8Cl24.

Cell and atoms, written as POSCAR:
```
NaAl6Sb7Te8Cl24
1.0
11.851 0.020 0.222
-2.367 12.578 -0.220
-4.543 -6.133 10.590
Na Al Sb Te Cl
1 6 7 8 24
Cartesian
3.735 -2.231 4.842
-1.733 8.767 2.431
6.477 -2.430 8.367
0.865 4.550 9.283
4.046 1.870 1.300
1.526 -0.752 7.238
3.567 7.324 3.343
-0.485 4.189 2.431
5.411 2.265 8.078
-0.640 0.473 4.149
5.515 5.999 6.467
8.358 3.260 5.332
8.327 1.618 1.557
-3.327 4.790 8.893
-0.625 1.491 1.348
5.610 4.889 9.259
8.508 4.384 2.447
-3.561 2.033 7.935
-0.431 3.176 5.175
5.277 3.316 5.382
8.316 0.403 4.211
-3.418 6.080 6.313
-0.276 6.230 8.545
5.109 0.203 2.169
-0.625 -0.345 7.055
5.680 6.715 3.621
-0.939 7.171 3.684
5.662 -1.051 6.880
6.474 11.214 0.518
-1.566 -4.873 10.094
2.448 0.279 5.531
2.580 6.738 5.178
2.362 3.971 7.824
2.560 2.590 2.702
1.879 -2.844 6.861
3.569 9.479 3.221
-0.508 2.942 9.649
5.472 3.398 0.825
9.499 7.909 0.785
-4.706 -1.260 9.823
-0.161 10.232 2.126
4.979 -3.847 8.980
2.310 -0.029 9.065
2.712 6.399 1.640
-3.382 9.733 3.422
8.161 -3.449 7.474
```

Summary:
The crystal system is triclinic. For the formation energy without anion corrections, the calculation gives -1.06 eV per atom.

=====

3.
A plane-wave DFT calculation with PBE-GGA was carried out for an optimized crystal structure of NaAl2TlCl8.

Cell and atoms, written as POSCAR:
```
NaAl2TlCl8
1.0
-4.017 -5.115 -0.658
0.084 -4.812 4.424
-7.901 1.217 6.302
Na Al Tl Cl
1 2 1 8
Cartesian
0.000 0.000 0.000
-2.986 -2.159 2.538
-8.848 -6.552 7.530
-5.917 -4.355 5.034
-4.490 -1.126 3.690
-3.738 -4.128 2.065
-7.344 -7.585 6.379
-5.211 -7.405 3.080
-6.623 -1.305 6.989
-2.538 -5.835 5.161
-9.296 -2.876 4.907
-8.097 -4.583 8.004
```

Summary:
Its density of states at the Fermi level is 0.0 states/eV per cell. The crystal system is trigonal. For the formation energy without anion corrections, the calculation gives -1.54 eV per atom.